First-principles (GGA-PBE) data for crystalline Ce2LuAl at its relaxed geometry, as listed in Alexandria.

Unit cell a=3.9270 b=3.9270 c=7.0137 alpha=90.00 beta=90.00 gamma=90.00
Last column: nearest neighbours and their distance in Å.
Element x y z (fractional)
Ce: 0.0000 0.0000 0.2013  1 Ce 2.82, 4 Al 3.12
Ce: 0.0000 0.0000 0.7987  1 Ce 2.82, 4 Al 3.12
Lu: 0.5000 0.5000 0.5000  8 Ce 3.48, 2 Al 3.51
Al: 0.5000 0.5000 0.0000  8 Ce 3.12

Output
Electronic total energy ... -0.3751 Ry/atom
Density ... 7.40 Mg/m³
Energy relative to the elements ... -0.070 eV per atom